LaTb2Y5Er | PBE-GGA | optimized geometry

Structure (extended XYZ):
```
18
Lattice="8.919 0.000 0.000 0.000 8.919 0.000 -4.459 -4.459 7.509" Properties=species:S:1:pos:R:3 pbc="T T T"
Y 2.628 -1.831 5.522
Y 6.291 7.088 1.987
Y 7.088 2.628 1.987
Tb 5.473 1.013 0.000
Tb 1.013 3.446 0.000
La 4.459 4.459 3.754
Y 4.459 4.459 0.000
Y -2.628 1.831 5.522
Er 4.459 0.000 3.754
Tb 7.906 5.473 0.000
Y 1.831 2.628 5.522
Y 1.831 6.291 1.987
Y -1.831 -2.628 5.522
Er 0.000 4.459 3.754
Y 0.000 0.000 0.000
La 0.000 0.000 3.754
Y 2.628 1.831 1.987
Tb 3.446 7.906 0.000
```

Output
- Energy relative to the elements: 0.27 eV/atom
- DOS(E_F): 23.24 states/eV/cell
- Total magnetization: 0.00 μB/atom
- Space group: I4/mcm
- V: 597.28 Å³/cell

PtF4 | PBE-GGA | optimized geometry

Structure (extended XYZ):
```
5
Lattice="4.057 0.000 0.000 0.000 4.057 0.000 0.000 0.000 4.057" Properties=species:S:1:pos:R:3 pbc="T T T"
F 0.000 2.029 2.029
Pt 2.029 2.029 2.029
F 0.000 0.000 0.000
F 2.029 0.000 2.029
F 2.029 2.029 0.000
```

Output
- ΔE_f (raw): -0.6967 eV/atom
- DOS(E_F): 9.11 states/eV/cell
- Distance to the lowest polymorph of the same formula: 51.2 kJ per mole of atoms
- Total magnetization: 0.17 μB/atom
- Space group: Pm-3m
- V: 66.78 Å³/cell

Li2CaBiCl | PBE-GGA | optimized geometry

Structure (extended XYZ):
```
5
Lattice="-0.782 -0.384 4.652 2.318 -4.126 0.049 4.656 2.628 0.999" Properties=species:S:1:pos:R:3 pbc="T T T"
Li 1.159 -2.063 0.025
Cl 0.000 0.000 0.000
Bi 3.096 -0.941 2.850
Li -0.391 -0.192 2.326
Ca 2.328 1.314 0.499
```

Output
- ΔE_f (raw): -1.0236 eV/atom
- Total magnetization: 0.00 μB/atom
- Space group: P4/mmm
- V: 121.85 Å³/cell

SrCdW2 | PBE-GGA | optimized geometry

Structure (extended XYZ):
```
4
Lattice="5.894 0.012 0.000 -3.046 5.046 0.000 0.000 0.000 2.779" Properties=species:S:1:pos:R:3 pbc="T T T"
Cd 2.947 0.006 1.390
Sr -1.523 2.523 1.390
W 1.424 2.529 0.000
W 0.000 0.000 0.000
```

Output
- Energy relative to the elements: 1.17 eV/atom
- DOS(E_F): 3.57 states/eV/cell
- Total magnetization: 0.00 μB/atom
- Space group: Cmmm
- V: 82.75 Å³/cell

Ca4Th3SiN8 | PBE-GGA | optimized geometry

Structure (extended XYZ):
```
16
Lattice="6.927 0.000 0.000 0.000 6.931 0.012 -3.463 -3.450 5.300" Properties=species:S:1:pos:R:3 pbc="T T T"
N 2.056 1.400 5.180
N 0.000 0.048 2.847
N 3.463 0.115 2.282
N -2.056 1.400 5.180
N 1.407 2.081 0.133
Si 0.000 3.465 0.006
Ca 0.000 0.000 0.000
N 0.000 3.366 3.030
Th 3.463 3.465 0.006
Ca 1.732 -1.725 2.650
Ca -1.732 -1.725 2.650
N 3.463 3.433 2.465
N 5.520 2.081 0.133
Th 1.732 1.740 2.656
Th -1.732 1.740 2.656
Ca 3.463 0.000 0.000
```

Output
- ΔE_f (raw): -1.0726 eV/atom
- DOS(E_F): 0.67 states/eV/cell
- Total magnetization: 0.00 μB/atom
- Space group: C2/m
- V: 254.73 Å³/cell

TaTiIrRu | PBE-GGA | optimized geometry

Structure (extended XYZ):
```
4
Lattice="-0.955 -0.212 -4.119 -3.885 -1.371 0.972 1.282 4.082 1.668" Properties=species:S:1:pos:R:3 pbc="T T T"
Ta -2.512 0.959 0.533
Ru -1.138 3.290 0.094
Ti -1.046 1.539 -2.012
Ir 0.000 0.000 0.000
```

Output
- Energy relative to the elements: -0.58 eV/atom
- DOS(E_F): 3.38 states/eV/cell
- Total magnetization: 0.00 μB/atom
- Space group: I-4m2
- V: 62.41 Å³/cell

TaBe2Re | PBE-GGA | optimized geometry

Structure (extended XYZ):
```
4
Lattice="3.177 0.000 0.000 0.000 3.177 0.000 0.000 0.000 5.308" Properties=species:S:1:pos:R:3 pbc="T T T"
Be 0.000 0.000 0.098
Ta 1.588 1.588 3.958
Re 0.000 0.000 2.580
Be 1.588 1.588 1.325
```

Output
- Energy relative to the elements: 0.17 eV/atom
- DOS(E_F): 2.15 states/eV/cell
- Distance to the lowest polymorph of the same formula: 53.4 kJ per mole of atoms
- Total magnetization: 0.00 μB/atom
- Space group: P4mm
- V: 53.56 Å³/cell

RbHoGaTe3 | PBE-GGA | optimized geometry

Structure (extended XYZ):
```
12
Lattice="-0.519 2.745 3.552 3.083 -7.195 6.010 8.833 5.556 -3.002" Properties=species:S:1:pos:R:3 pbc="T T T"
Te 8.002 4.639 -0.978
Te 6.158 -2.509 4.276
Te 2.444 -0.327 4.922
Rb 8.778 0.501 5.208
Ho 8.359 4.427 2.113
Rb 2.619 0.605 1.352
Te 5.239 3.615 2.284
Te 3.396 -3.533 7.538
Te 8.953 1.434 1.638
Ga 5.860 -2.457 7.067
Ho 3.038 -3.320 4.447
Ga 5.537 3.563 -0.507
```

Output
- ΔE_f (raw): -0.9501 eV/atom
- DOS(E_F): 2.86 states/eV/cell
- Total magnetization: 0.00 μB/atom
- Space group: P2_1/m
- V: 463.85 Å³/cell